{
  "formula": "TmAlGa2S6",
  "functional": "PBE-GGA",
  "state": "optimized geometry",
  "lattice": [[-5.2228, 3.9595, -1.4832], [-3.8076, 1.3527, 7.5524], [3.1067, 7.9423, 0.7964]],
  "species": ["Tm", "Tm", "Al", "Al", "Ga", "Ga", "Ga", "Ga", "S", "S", "S", "S", "S", "S", "S", "S", "S", "S", "S", "S"],
  "fractional_positions": [[0.2500, 0.8848, 0.1152], [0.7500, 0.1152, 0.8848], [0.2500, 0.1994, 0.8006], [0.7500, 0.8006, 0.1994], [0.2878, 0.7451, 0.6034], [0.2122, 0.3966, 0.2549], [0.7122, 0.2549, 0.3966], [0.7878, 0.6034, 0.7451], [0.1581, 0.9545, 0.8114], [0.3419, 0.1886, 0.0455], [0.8419, 0.0455, 0.1886], [0.6581, 0.8114, 0.9545], [0.4281, 0.8736, 0.3688], [0.0719, 0.6312, 0.1264], [0.5719, 0.1264, 0.6312], [0.9281, 0.3688, 0.8736], [0.9872, 0.7182, 0.5464], [0.5128, 0.4536, 0.2818], [0.0128, 0.2818, 0.4536], [0.4872, 0.5464, 0.7182]],
  "e_form_raw_ev_per_fu": -10.19,
  "rho_g_cm3": 3.78,
  "dos_ef_per_ev_atom": 0.000,
  "sg": "C2/c, No. 15"
}

---

{
  "formula": "AlZnGaS4",
  "functional": "PBE-GGA",
  "state": "optimized geometry",
  "lattice": [[1.3186, -2.7251, 5.7117], [-0.5004, 4.5312, 4.5833], [-4.0690, -1.7521, -4.7077]],
  "species": ["Al", "Zn", "Ga", "S", "S", "S", "S"],
  "fractional_positions": [[0.5000, 0.5000, 0.0000], [0.0000, 0.0000, 0.0000], [0.2500, 0.7500, 0.5000], [0.6184, 0.6101, 0.4858], [0.1243, 0.1326, 0.5142], [0.8674, 0.3816, 0.9917], [0.3899, 0.8757, 0.0083]],
  "e_form_raw_ev_per_fu": -6.10,
  "rho_g_cm3": 3.21,
  "dos_ef_per_ev_atom": 0.000,
  "sg": "I-4, No. 82"
}

---

{
  "formula": "Al2GaSb3",
  "functional": "PBE-GGA",
  "state": "optimized geometry",
  "lattice": [[-7.3756, -0.6161, 1.8346], [3.9209, -6.1744, -2.1559], [2.9596, 1.0221, 6.9545]],
  "species": ["Al", "Al", "Al", "Al", "Ga", "Ga", "Sb", "Sb", "Sb", "Sb", "Sb", "Sb"],
  "fractional_positions": [[0.5958, 0.4292, 0.0076], [0.7623, 0.2617, 0.5079], [0.4292, 0.5958, 0.5076], [0.2617, 0.7623, 0.0079], [0.0951, 0.9287, 0.5078], [0.9287, 0.0951, 0.0078], [0.0540, 0.2198, 0.3824], [0.2198, 0.0540, 0.8824], [0.8873, 0.3865, 0.8828], [0.3865, 0.8873, 0.3828], [0.5538, 0.7209, 0.8827], [0.7209, 0.5538, 0.3827]],
  "e_form_raw_ev_per_fu": -0.98,
  "rho_g_cm3": 4.49,
  "sg": "Cc, No. 9"
}

---

{
  "formula": "Al2GaSb",
  "functional": "PBE-GGA",
  "state": "optimized geometry",
  "lattice": [[-2.4500, 3.3890, -4.7403], [-4.7958, 1.7483, 3.7286], [-0.6928, 7.0315, 1.1704]],
  "species": ["Sb", "Sb", "Al", "Al", "Al", "Al", "Ga", "Ga"],
  "fractional_positions": [[0.0000, 0.0000, 0.0000], [0.7500, 0.2500, 0.5000], [0.6088, 0.1250, 0.2500], [0.1412, 0.6250, 0.2500], [0.3750, 0.3912, 0.7500], [0.8750, 0.8588, 0.7500], [0.5000, 0.5000, 0.0000], [0.2500, 0.7500, 0.5000]],
  "e_form_raw_ev_per_fu": 0.86,
  "rho_g_cm3": 3.65,
  "dos_ef_per_ev_atom": 0.416,
  "sg": "I-42d, No. 122",
  "de_polymorph_mev_per_atom": 30
}